A relaxed structure of MnAs2F8, computed with PBE+U.

Output
Crystal system: monoclinic
SG: No. 12

Lattice parameters (Å, degrees): 6.3653 6.3653 7.0501 93.82 93.82 50.59
Sites, in units of the cell vectors:
Mn1 0.0000 0.0000 0.0000
As1 0.1452 0.1452 0.3740
As2 0.8548 0.8548 0.6260
F1 0.0450 0.0450 0.7351
F2 0.0877 0.6271 0.8149
F3 0.3032 0.3032 0.4016
F4 0.3729 0.9123 0.1851
F5 0.6271 0.0877 0.8149
F6 0.6968 0.6968 0.5984
F7 0.9123 0.3729 0.1851
F8 0.9550 0.9550 0.2649

---

A relaxed structure of Mn2AsF, computed with PBE+U.

Output
Crystal system: cubic
SG: No. 225

Lattice parameters (Å, degrees): 4.5413 4.5413 4.5413 60.00 60.00 60.00
Sites, in units of the cell vectors:
Mn1 0.2500 0.2500 0.2500
Mn2 0.7500 0.7500 0.7500
As1 0.0000 0.0000 0.0000
F1 0.5000 0.5000 0.5000

---

A relaxed structure of MnAsF5, computed with PBE+U.

Output
Crystal system: monoclinic
SG: No. 15

Lattice parameters (Å, degrees): 5.5872 5.5872 7.8259 106.72 106.72 78.82
Sites, in units of the cell vectors:
Mn1 0.0000 0.0000 0.0000
Mn2 0.0000 0.0000 0.5000
As1 0.4870 0.5130 0.7500
As2 0.5130 0.4870 0.2500
F1 0.0838 0.9162 0.2500
F2 0.2205 0.3061 0.5995
F3 0.2759 0.6548 0.9036
F4 0.3061 0.2205 0.0995
F5 0.3452 0.7241 0.5964
F6 0.6548 0.2759 0.4036
F7 0.6939 0.7795 0.9005
F8 0.7241 0.3452 0.0964
F9 0.7795 0.6939 0.4005
F10 0.9162 0.0838 0.7500

---

A relaxed structure of MnAs2F, computed with PBE+U.

Output
Crystal system: tetragonal
SG: No. 122

Lattice parameters (Å, degrees): 6.8514 6.8514 6.8514 135.31 135.31 65.05
Sites, in units of the cell vectors:
Mn1 0.0000 0.0000 0.0000
Mn2 0.7500 0.2500 0.5000
As1 0.0824 0.6250 0.9574
As2 0.3750 0.3324 0.4574
As3 0.6676 0.1250 0.0426
As4 0.8750 0.9176 0.5426
F1 0.2500 0.7500 0.5000
F2 0.5000 0.5000 0.0000

---

A relaxed structure of MnAs2F8, computed with PBE+U.

Output
Crystal system: monoclinic
SG: No. 12

Lattice parameters (Å, degrees): 6.1410 6.1410 5.0227 98.52 98.52 76.57
Sites, in units of the cell vectors:
Mn1 0.0000 0.0000 0.0000
As1 0.2839 0.2839 0.4890
As2 0.7161 0.7161 0.5110
F1 0.0018 0.3310 0.2856
F2 0.1247 0.1247 0.7274
F3 0.3310 0.0018 0.2856
F4 0.3940 0.3940 0.2311
F5 0.6060 0.6060 0.7689
F6 0.6690 0.9982 0.7144
F7 0.8753 0.8753 0.2726
F8 0.9982 0.6690 0.7144

---

A relaxed structure of MnAs2F, computed with PBE+U.

Output
Crystal system: cubic
SG: No. 225

Lattice parameters (Å, degrees): 4.4903 4.4903 4.4903 60.00 60.00 60.00
Sites, in units of the cell vectors:
Mn1 0.0000 0.0000 0.0000
As1 0.2500 0.2500 0.2500
As2 0.7500 0.7500 0.7500
F1 0.5000 0.5000 0.5000

---

A relaxed structure of Mn2AsF, computed with PBE+U.

Output
Crystal system: tetragonal
SG: No. 122

Lattice parameters (Å, degrees): 7.1477 7.1477 7.1477 136.32 136.32 63.49
Sites, in units of the cell vectors:
Mn1 0.0844 0.6250 0.9594
Mn2 0.3750 0.3344 0.4594
Mn3 0.6656 0.1250 0.0406
Mn4 0.8750 0.9156 0.5406
As1 0.2500 0.7500 0.5000
As2 0.5000 0.5000 0.0000
F1 0.0000 0.0000 0.0000
F2 0.7500 0.2500 0.5000

---

A relaxed structure of MnAsN2F, computed with PBE+U.

Output
Crystal system: tetragonal
SG: No. 123

Lattice parameters (Å, degrees): 3.8194 3.8194 4.0183 90.00 90.00 90.00
Sites, in units of the cell vectors:
Mn1 0.0000 0.0000 0.0000
As1 0.5000 0.5000 0.5000
N1 0.0000 0.5000 0.5000
N2 0.5000 0.0000 0.5000
F1 0.5000 0.5000 0.0000

---

Number 1: raw total energy -5.04 eV/atom, theoretical density 2.7 g cm⁻³. Number 2: raw total energy -6.07 eV/atom, theoretical density 5.1 g cm⁻³. Number 3: raw total energy -5.39 eV/atom, theoretical density 3.4 g cm⁻³. Number 4: raw total energy -4.05 eV/atom, theoretical density 4.7 g cm⁻³. Number 5: raw total energy -5.08 eV/atom, theoretical density 3.3 g cm⁻³. Number 6: raw total energy -4.88 eV/atom, theoretical density 5.8 g cm⁻³. Number 7: raw total energy -6.13 eV/atom, theoretical density 3.9 g cm⁻³. Number 8: raw total energy -5.82 eV/atom, theoretical density 5.0 g cm⁻³.